# La2Cr2O5

A relaxed La2Cr2O5 crystal (PBE with a Hubbard U, the Alexandria database).

Final energy: -8.031 eV per atom
D(E_F): 0.21 states/eV/atom
SG: No. 46

a = 8.889 Å, b = 8.889 Å, c = 8.889 Å
α = 143.47°, β = 142.34°, γ = 53.48°
Element x y z (fractional)
1 O 0.708 0.642 0.100
2 O 0.042 0.142 0.934
3 La 0.377 0.883 0.498
4 La 0.623 0.121 0.506
5 O 0.387 0.868 0.755
6 O 0.277 0.277 0.507
7 O 0.723 0.229 0.999
8 O 0.958 0.892 0.100
9 La 0.885 0.383 0.506
10 O 0.270 0.777 0.999
11 O 0.613 0.368 0.481
12 Cr 0.500 0.506 0.006
13 Cr 0.000 0.006 0.006
14 O 0.730 0.729 0.507
15 Cr 0.248 0.245 0.994
16 La 0.115 0.621 0.498
17 O 0.292 0.392 0.934
18 Cr 0.752 0.745 0.997